No. 1
A relaxed SrMg2InPt crystal. Source: OQMD via LeMat-Bulk, functional PBE.

Cell: 4.4293 4.4293 12.6603 Å, 90.00 90.00 90.00°
Last column: nearest neighbours and their distance in Å.
Space group I4mm (No. 107)
Unique sites:
Sr (0.0000, 0.0000, 0.0000)  4 Pt 3.38, 4 In 3.46, 4 Mg 3.60
Mg (0.0000, 0.5000, 0.2240)  2 Pt 2.71, 2 In 3.01
In (0.0000, 0.0000, 0.3848)  1 Pt 2.74, 4 Mg 3.01
Pt (0.0000, 0.0000, 0.6012)  4 Mg 2.71, 1 In 2.74

=====

No. 2
A relaxed Tm3Mg3InPt2 crystal. Source: OQMD via LeMat-Bulk, functional PBE.

Cell: 7.3731 7.3731 4.2177 Å, 90.00 90.00 120.00°
Last column: nearest neighbours and their distance in Å.
Space group P-62m (No. 189)
Unique sites:
Tm (0.0000, 0.4265, 0.0000)  4 Pt 3.04, 2 Mg 3.13, 1 In 3.14
Mg (0.0000, 0.7408, 0.5000)  2 Pt 2.77, 2 In 2.85
In (0.0000, 0.0000, 0.0000)  6 Mg 2.85, 3 Tm 3.14
Pt (0.3333, 0.6667, 0.5000)  3 Mg 2.77, 6 Tm 3.04

=====

No. 3
A relaxed PuMgIn crystal. Source: OQMD via LeMat-Bulk, functional PBE.

Cell: 6.5537 6.5537 6.5537 Å, 90.00 90.00 90.00°
Last column: nearest neighbours and their distance in Å.
Space group F-43m (No. 216)
Unique sites:
Pu (0.0000, 0.0000, 0.0000)  4 In 2.84, 4 Mg 2.84
Mg (0.2500, 0.2500, 0.2500)  4 Pu 2.84
In (0.2500, 0.2500, 0.7500)  4 Pu 2.84

=====

No. 4
A relaxed PuMgIn crystal. Source: OQMD via LeMat-Bulk, functional PBE.

Cell: 7.0961 7.0961 7.0961 Å, 90.00 90.00 90.00°
Last column: nearest neighbours and their distance in Å.
Space group F-43m (No. 216)
Unique sites:
Pu (0.0000, 0.0000, 0.0000)  4 In 3.07
Mg (0.0000, 0.0000, 0.5000)  4 In 3.07
In (0.2500, 0.2500, 0.7500)  4 Mg 3.07, 4 Pu 3.07

=====

No. 5
A relaxed MgInReTe crystal. Source: OQMD via LeMat-Bulk, functional PBE.

Properties
The excess energy over the best structure of this formula in the dataset is 0 meV per atom.

Cell: 6.7988 6.7988 6.7988 Å, 90.00 90.00 90.00°
Last column: nearest neighbours and their distance in Å.
Space group F-43m (No. 216)
Unique sites:
Mg (0.0000, 0.0000, 0.0000)  4 In 2.94, 4 Te 2.94
In (0.2500, 0.2500, 0.2500)  4 Re 2.94, 4 Mg 2.94
Re (0.0000, 0.0000, 0.5000)  4 In 2.94, 4 Te 2.94
Te (0.2500, 0.2500, 0.7500)  4 Re 2.94, 4 Mg 2.94

=====

No. 6
A relaxed SmMgInS3 crystal. Source: OQMD via LeMat-Bulk, functional PBE.

Cell: 4.1285 14.0282 11.0493 Å, 90.00 90.00 90.00°
Last column: nearest neighbours and their distance in Å.
Space group Cmcm (No. 63)
Unique sites:
Sm (0.0000, 0.0000, 0.0000)  6 S 2.81-2.89
Mg (0.0000, 0.4630, 0.2500)  4 S 2.40-2.48
In (0.0000, 0.2505, 0.7500)  6 S 3.35-3.40, 2 Mg 3.64
S (0.0000, 0.0614, 0.2500)  2 Mg 2.48
S (0.0000, 0.3743, 0.0641)  1 Mg 2.40

=====

No. 7
A relaxed TbMgInS3 crystal. Source: OQMD via LeMat-Bulk, functional PBE.

Cell: 4.0797 14.0761 10.8369 Å, 90.00 90.00 90.00°
Last column: nearest neighbours and their distance in Å.
Space group Cmcm (No. 63)
Unique sites:
Tb (0.0000, 0.0000, 0.0000)  6 S 2.76-2.84
Mg (0.0000, 0.4616, 0.2500)  4 S 2.40-2.47
In (0.0000, 0.2539, 0.7500)  6 S 3.31-3.43, 2 Mg 3.66
S (0.0000, 0.0609, 0.2500)  2 Mg 2.47
S (0.0000, 0.3758, 0.0589)  1 Mg 2.40

=====

No. 8
A relaxed TmMgInS3 crystal. Source: OQMD via LeMat-Bulk, functional PBE.

Cell: 4.0142 14.0496 10.6556 Å, 90.00 90.00 90.00°
Last column: nearest neighbours and their distance in Å.
Space group Cmcm (No. 63)
Unique sites:
Tm (0.0000, 0.0000, 0.0000)  6 S 2.72-2.79
Mg (0.0000, 0.4558, 0.2500)  4 S 2.39-2.47
In (0.0000, 0.2607, 0.7500)  8 S 3.24-3.60
S (0.0000, 0.0585, 0.2500)  2 Mg 2.47
S (0.0000, 0.3755, 0.0523)  1 Mg 2.39

=====

| no. | E (Ry/atom) | volume (Å³ per atom) | magnetization (μB per cell) |
| --- | --- | --- | --- |
| 1 | -0.23875 | 24.837 | 0.01 |
| 2 | -0.32030 | 22.063 | 0.01 |
| 3 | -0.38568 | 23.457 | 22.96 |
| 4 | -0.44058 | 29.777 | 21.00 |
| 5 | -0.32769 | 19.642 | 0.01 |
| 6 | -0.35770 | 26.663 | 0.01 |
| 7 | -0.35778 | 25.930 | 0.01 |
| 8 | -0.35603 | 25.040 | 0.03 |